(1)
This record from Alexandria describes an optimized crystal structure of BeReAu2. The functional is PBE-GGA.

Lattice parameters (Å, degrees): 4.1229 2.7756 5.4795 74.13 90.00 90.00
Last column: nearest neighbours and their distance in Å.
Sites, in units of the cell vectors:
1 Au 0.0000 0.3862 0.4858  2 Be 2.52, 4 Au 2.78-2.81
2 Be 0.5000 0.2500 0.2500  4 Au 2.52, 2 Re 2.71, 2 Be 2.78
3 Re 0.5000 0.7500 0.7500  2 Be 2.71, 2 Re 2.78, 8 Au 2.84-2.86
4 Au 0.0000 0.1138 0.0142  2 Be 2.52, 4 Au 2.78-2.81

Computed properties:
calculated volume = 60.3 Å³/cell
calculated formation energy = 43 kJ/mol of atoms
raw total energy = -5.2389 eV/atom
total magnetization = 0.15 Bohr magnetons per cell
mass density = 16.22 g cm⁻³



(2)
This record from Alexandria describes an optimized crystal structure of Sm3TlPt8. The functional is PBE-GGA.

Lattice parameters (Å, degrees): 5.4810 5.4810 9.4878 73.21 73.21 60.00
Last column: nearest neighbours and their distance in Å.
Sites, in units of the cell vectors:
1 Pt 0.9428 0.4379 0.1814  6 Pt 2.71-2.77
2 Sm 0.9935 0.9935 0.0195  12 Pt 3.10-3.33, 1 Tl 3.32, 3 Sm 3.44
3 Pt 0.1881 0.1881 0.4357  6 Pt 2.76-2.77
4 Sm 0.5059 0.5059 0.4823  12 Pt 3.13-3.32, 3 Tl 3.27, 1 Sm 3.45
5 Pt 0.4379 0.4379 0.1814  6 Pt 2.71-2.77
6 Pt 0.9375 0.4337 0.6914  6 Pt 2.71-2.77
7 Pt 0.6881 0.6881 0.9357  6 Pt 2.71-2.72
8 Pt 0.4337 0.9375 0.6914  6 Pt 2.71-2.77
9 Pt 0.4379 0.9428 0.1814  6 Pt 2.71-2.77
10 Tl 0.8697 0.8697 0.3909  12 Pt 3.12-3.32, 4 Sm 3.27-3.32
11 Sm 0.3774 0.3774 0.8677  12 Pt 3.16-3.22, 4 Sm 3.44-3.45
12 Pt 0.9375 0.9375 0.6914  6 Pt 2.71-2.77

Computed properties:
calculated volume = 232.7 Å³/cell
calculated formation energy = -89 kJ/mol of atoms
raw total energy = -6.3295 eV/atom
total magnetization = 0.00 Bohr magnetons per cell
mass density = 15.81 g cm⁻³



(3)
This record from Alexandria describes an optimized crystal structure of Pm2CoAs4Pt3. The functional is PBE-GGA.

Lattice parameters (Å, degrees): 4.2806 4.2806 10.3750 90.00 90.00 90.00
Last column: nearest neighbours and their distance in Å.
Sites, in units of the cell vectors:
1 Pt 0.0000 0.5000 0.1354  5 As 2.46-2.56
2 As 0.0000 0.5000 0.3722  3 Pt 2.46-2.52, 2 Co 2.52
3 As 0.0000 0.0000 0.0000  4 Pt 2.56
4 Co 0.5000 0.5000 0.5000  4 As 2.52
5 Pt 0.5000 0.0000 0.8646  5 As 2.46-2.56
6 As 0.5000 0.0000 0.6278  3 Pt 2.46-2.52, 2 Co 2.52
7 Pt 0.0000 0.0000 0.5000  4 As 2.52
8 As 0.5000 0.5000 0.0000  4 Pt 2.56
9 Pm 0.0000 0.5000 0.7399  8 As 3.24-3.44, 2 Co 3.28, 6 Pt 3.28-3.29
10 Pm 0.5000 0.0000 0.2601  8 As 3.24-3.44, 6 Pt 3.28-3.29, 2 Co 3.28

Computed properties:
calculated volume = 190.1 Å³/cell
calculated formation energy = -78 kJ/mol of atoms
raw total energy = -6.1397 eV/atom
total magnetization = 1.31 Bohr magnetons per cell
mass density = 10.78 g cm⁻³



Q: What is the formula in the third record?
A: Pm2CoAs4Pt3



Q: total magnetization of number 2 (Sm3TlPt8)?
A: 0.00 Bohr magnetons per cell



Please write out number 2 again, unchanged.
This record from Alexandria describes an optimized crystal structure of Sm3TlPt8. The functional is PBE-GGA.

Lattice parameters (Å, degrees): 5.4810 5.4810 9.4878 73.21 73.21 60.00
Last column: nearest neighbours and their distance in Å.
Sites, in units of the cell vectors:
1 Pt 0.9428 0.4379 0.1814  6 Pt 2.71-2.77
2 Sm 0.9935 0.9935 0.0195  12 Pt 3.10-3.33, 1 Tl 3.32, 3 Sm 3.44
3 Pt 0.1881 0.1881 0.4357  6 Pt 2.76-2.77
4 Sm 0.5059 0.5059 0.4823  12 Pt 3.13-3.32, 3 Tl 3.27, 1 Sm 3.45
5 Pt 0.4379 0.4379 0.1814  6 Pt 2.71-2.77
6 Pt 0.9375 0.4337 0.6914  6 Pt 2.71-2.77
7 Pt 0.6881 0.6881 0.9357  6 Pt 2.71-2.72
8 Pt 0.4337 0.9375 0.6914  6 Pt 2.71-2.77
9 Pt 0.4379 0.9428 0.1814  6 Pt 2.71-2.77
10 Tl 0.8697 0.8697 0.3909  12 Pt 3.12-3.32, 4 Sm 3.27-3.32
11 Sm 0.3774 0.3774 0.8677  12 Pt 3.16-3.22, 4 Sm 3.44-3.45
12 Pt 0.9375 0.9375 0.6914  6 Pt 2.71-2.77

Computed properties:
calculated volume = 232.7 Å³/cell
calculated formation energy = -89 kJ/mol of atoms
raw total energy = -6.3295 eV/atom
total magnetization = 0.00 Bohr magnetons per cell
mass density = 15.81 g cm⁻³